[1]
A geometry-optimized K3SeF structure, computed with GGA-PBEsol.

Output
Its symmetry is Pm-3m. The uncorrected formation energy comes out at -1.731 eV/atom. As for the mass density: 2.7 Mg/m³. As for the density of states at the Fermi level: 0.00 states/eV/cell.

a b c (Å): 5.0699 5.0699 5.0699
angles (deg): 90.00 90.00 90.00
Atoms (fractional coordinates):
K 0.0000 0.5000 0.0000
K 0.0000 0.0000 0.5000
K 0.5000 0.0000 0.0000
Se 0.5000 0.5000 0.5000
F 0.0000 0.0000 0.0000



[2]
A geometry-optimized CuNi structure, computed with GGA-PBEsol.

Output
The calculation puts the total energy at -5.1610 eV per atom. Its symmetry is Fd-3m. As for the mass density: 9.4 Mg/m³. As for the density of states at the Fermi level: 5.54 states/eV/cell.

a b c (Å): 3.9387 3.9387 3.9387
angles (deg): 60.00 60.00 60.00
Atoms (fractional coordinates):
Ni 0.2500 0.2500 0.2500
Ni 0.0000 0.0000 0.0000
Cu 0.7500 0.7500 0.7500
Cu 0.5000 0.5000 0.5000



[3]
A geometry-optimized Al2CuSi structure, computed with GGA-PBEsol.

Output
Its symmetry is P4/mmm. The uncorrected formation energy comes out at 0.111 eV/atom. As for the mass density: 4.2 Mg/m³. As for the density of states at the Fermi level: 1.48 states/eV/cell.

a b c (Å): 2.9337 4.4311 4.4311
angles (deg): 90.00 90.00 90.00
Atoms (fractional coordinates):
Al 0.0000 0.5000 0.0000
Al 0.0000 0.0000 0.5000
Si 0.5000 0.0000 0.0000
Cu 0.5000 0.5000 0.5000



[4]
A geometry-optimized BaCd2Pb2 structure, computed with GGA-PBEsol.

Output
The calculation puts the total energy at -2.8479 eV per atom. Its symmetry is I4/mmm. As for the mass density: 8.6 Mg/m³. As for the density of states at the Fermi level: 2.03 states/eV/cell.

a b c (Å): 4.9589 4.9589 7.0608
angles (deg): 110.56 110.56 90.00
Atoms (fractional coordinates):
Ba 0.0000 0.0000 0.0000
Cd 0.6106 0.6106 0.2212
Cd 0.3894 0.3894 0.7788
Pb 0.7500 0.2500 0.5000
Pb 0.2500 0.7500 0.5000



[5]
A geometry-optimized Li2CdPb structure, computed with GGA-PBEsol.

Output
For the excess energy over the best structure of this formula in the dataset, the calculation gives 129 meV/atom. Its symmetry is R-3m. As for the mass density: 6.5 Mg/m³. As for the density of states at the Fermi level: 1.27 states/eV/cell.

a b c (Å): 3.2386 3.2386 9.5896
angles (deg): 80.28 80.28 60.00
Atoms (fractional coordinates):
Li 0.7489 0.7489 0.7532
Li 0.2511 0.2511 0.2468
Pb 0.5000 0.5000 0.5000
Cd 0.0000 0.0000 0.0000



[6]
A geometry-optimized K2ZrTl structure, computed with GGA-PBEsol.

Output
For the excess energy over the best structure of this formula in the dataset, the calculation gives 0 meV/atom. Its symmetry is I4/mmm. As for the mass density: 5.2 Mg/m³. As for the density of states at the Fermi level: 3.15 states/eV/cell.

a b c (Å): 4.3973 4.3973 6.9052
angles (deg): 108.57 108.57 90.00
Atoms (fractional coordinates):
K 0.7500 0.2500 0.5000
K 0.2500 0.7500 0.5000
Tl 0.0000 0.0000 0.0000
Zr 0.5000 0.5000 0.0000



[7]
A geometry-optimized Al2PdAu structure, computed with GGA-PBEsol.

Output
The calculation puts the total energy at -4.7704 eV per atom. Its symmetry is I-42d. As for the mass density: 8.9 Mg/m³. As for the density of states at the Fermi level: 2.57 states/eV/cell.

a b c (Å): 5.4434 5.6404 5.6404
angles (deg): 76.54 61.15 61.15
Atoms (fractional coordinates):
Al 0.8750 0.5074 0.9926
Al 0.6176 0.0074 0.5074
Al 0.1324 0.9926 0.4926
Al 0.3750 0.4926 0.0074
Pd 0.5000 0.0000 0.0000
Pd 0.2500 0.5000 0.5000
Au 0.7500 0.5000 0.5000
Au 0.0000 0.0000 0.0000



[8]
A geometry-optimized YTaBr3 structure, computed with GGA-PBEsol.

Output
Its symmetry is Pm-3m. The uncorrected formation energy comes out at 0.122 eV/atom. As for the mass density: 6.5 Mg/m³. As for the density of states at the Fermi level: 6.22 states/eV/cell.

a b c (Å): 5.0563 5.0563 5.0563
angles (deg): 90.00 90.00 90.00
Atoms (fractional coordinates):
Y 0.5000 0.5000 0.5000
Ta 0.0000 0.0000 0.0000
Br 0.0000 0.5000 0.0000
Br 0.5000 0.0000 0.0000
Br 0.0000 0.0000 0.5000